Ti2CoNiN after structural relaxation, computed with GGA-PBE.

Properties
* magnetic moment: 1.823 μB per cell
* raw formation energy: 124.5 kJ per mole of atoms

POSCAR file:
```
Ti2CoNiN
1.0
4.426 0.000 0.000
0.000 4.150 0.000
0.000 0.000 4.426
Ti Ni N Co
2 1 1 1
Direct
0.000 0.000 0.500
0.500 0.000 0.000
0.000 0.000 0.000
0.500 0.500 0.500
0.000 0.500 0.000
```



PmSmAg4 after structural relaxation, computed with GGA-PBE.

Properties
* polymorph energy (0 for the lowest one): 0.0000 eV/atom
* magnetic moment: 0.000 μB per cell
* ΔH_f (0 K): -0.258 eV per atom

POSCAR file:
```
PmSmAg4
1.0
-2.193 1.627 3.957
4.476 -3.768 4.029
7.433 4.543 2.251
Ag Pm Sm
8 2 2
Direct
0.750 0.043 0.917
0.750 0.701 0.583
0.250 0.461 0.083
0.250 0.957 0.083
0.750 0.217 0.583
0.750 0.539 0.917
0.250 0.783 0.417
0.250 0.299 0.417
0.750 0.123 0.254
0.250 0.877 0.746
0.250 0.373 0.754
0.750 0.627 0.246
```



RbHoGa2Cl6 after structural relaxation, computed with GGA-PBE.

Properties
* magnetic moment: 0.000 μB per cell
* raw formation energy: -154.7 kJ per mole of atoms

POSCAR file:
```
RbHoGa2Cl6
1.0
-3.019 2.856 6.338
-0.150 -4.146 6.341
4.922 2.020 5.978
Ga Cl Rb Ho
2 6 1 1
Direct
0.011 0.011 0.966
0.518 0.518 0.447
0.155 0.381 0.770
0.970 0.561 0.232
0.695 0.154 0.770
0.236 0.970 0.233
0.381 0.694 0.769
0.561 0.236 0.232
0.811 0.811 0.566
0.324 0.323 0.029
```



KCu after structural relaxation, computed with GGA-PBE.

Properties
* polymorph energy (0 for the lowest one): 0.2351 eV/atom
* magnetic moment: 0.000 μB per cell
* ΔH_f (0 K): 0.478 eV per atom

POSCAR file:
```
KCu
1.0
3.964 0.000 0.000
0.000 3.964 0.000
0.000 0.000 3.964
Cu K
1 1
Direct
0.000 0.000 0.000
0.500 0.500 0.500
```



Number 1: E -6.110 eV per atom, V 81 Å³ per cell, Fermi-level density of states 1.185 states/eV/atom. Number 2: E -3.737 eV per atom, V 282 Å³ per cell, Fermi-level density of states 0.840 states/eV/atom. Number 3: E -3.871 eV per atom, V 333 Å³ per cell, Fermi-level density of states 0.000 states/eV/atom. Number 4: E -2.119 eV per atom, V 62 Å³ per cell, Fermi-level density of states 0.183 states/eV/atom.